Entry 1:
Compound: Pm3SbS
Source: Alexandria
Functional: PBE
Structure: relaxed

Summary:
- energy relative to the elements, uncorrected (eV/atom) = -1.154
- ΔE to the lowest computed polymorph (meV per atom) = 0
- ρ (Mg/m³) = 6.30

Lattice parameters (Å, degrees): 7.1874 9.5108 9.5108 77.18 80.97 80.97
With the nearest neighbours (Å) after each atom.
Element x y z (fractional)
Pm1 0.0724 0.6701 0.5316  1 S 2.81, 1 Sb 3.12
Pm2 0.9637 0.9712 0.8106  3 S 2.78-2.86
Pm3 0.5373 0.8450 0.3568  2 S 2.79-2.81, 1 Sb 3.11
Pm4 0.5724 0.5316 0.6701  1 S 2.81, 1 Sb 3.12
Pm5 0.4637 0.8106 0.9712  3 S 2.78-2.86
Pm6 0.9627 0.6432 0.1550  2 S 2.79-2.81, 1 Sb 3.11
Pm7 0.0373 0.3568 0.8450  2 S 2.79-2.81, 1 Sb 3.11
Pm8 0.4627 0.1550 0.6432  2 S 2.79-2.81, 1 Sb 3.11
Pm9 0.9276 0.3299 0.4684  1 S 2.81, 1 Sb 3.12
Pm10 0.0363 0.0288 0.1894  3 S 2.78-2.86
Pm11 0.5363 0.1894 0.0288  3 S 2.78-2.86
Pm12 0.4276 0.4684 0.3299  1 S 2.81, 1 Sb 3.12
S1 0.2500 0.7536 0.2464  6 Pm 2.79-2.81
S2 0.7500 0.9171 0.0829  6 Pm 2.78-2.86
S3 0.2500 0.0829 0.9171  6 Pm 2.78-2.86
S4 0.7500 0.2464 0.7536  6 Pm 2.79-2.81
Sb1 0.2009 0.6433 0.8518  6 Pm 3.11-3.28
Sb2 0.7009 0.8518 0.6433  6 Pm 3.11-3.28
Sb3 0.2991 0.1482 0.3567  6 Pm 3.11-3.28
Sb4 0.7991 0.3567 0.1482  6 Pm 3.11-3.28

Entry 2:
Compound: Pm2SbS5
Source: Alexandria
Functional: PBE
Structure: relaxed

Summary:
- energy relative to the elements, uncorrected (eV/atom) = -1.246
- ΔE to the lowest computed polymorph (meV per atom) = 105
- ρ (Mg/m³) = 3.93

Lattice parameters (Å, degrees): 5.3291 7.3871 13.1518 90.00 90.00 111.14
With the nearest neighbours (Å) after each atom.
Element x y z (fractional)
S1 0.7047 0.4094 0.5892  1 Sb 2.76, 3 Pm 2.77-2.85
S2 0.2953 0.5906 0.4108  1 Sb 2.76, 3 Pm 2.77-2.85
S3 0.9560 0.9119 0.8904  1 Sb 2.51, 2 Pm 2.77-2.78
S4 0.2774 0.5547 0.7500  2 Sb 2.77, 2 Pm 2.94
S5 0.2953 0.5906 0.0892  1 Sb 2.76, 3 Pm 2.77-2.85
S6 0.0440 0.0881 0.1096  1 Sb 2.51, 2 Pm 2.77-2.78
S7 0.0440 0.0881 0.3904  1 Sb 2.51, 2 Pm 2.77-2.78
S8 0.9560 0.9119 0.6096  1 Sb 2.51, 2 Pm 2.77-2.78
S9 0.7226 0.4453 0.2500  2 Sb 2.77, 2 Pm 2.94
S10 0.7047 0.4094 0.9108  1 Sb 2.76, 3 Pm 2.77-2.85
Pm1 0.8467 0.6934 0.0683  6 S 2.77-2.94
Pm2 0.1533 0.3066 0.9317  6 S 2.77-2.94
Pm3 0.1533 0.3066 0.5683  6 S 2.77-2.94
Pm4 0.8467 0.6934 0.4317  6 S 2.77-2.94
Sb1 0.1671 0.3342 0.2500  6 S 2.51-2.77
Sb2 0.8329 0.6658 0.7500  6 S 2.51-2.77